[1]
A geometry-optimized CaPmPPt structure, computed with PBE-GGA.

a = 5.0139 Å, b = 5.0139 Å, c = 5.0139 Å
α = 60.00°, β = 60.00°, γ = 60.00°
With the nearest neighbours (Å) after each atom.
Atoms (fractional coordinates):
Ca (0.0000, 0.0000, 0.0000)  4 Pt 3.07, 4 P 3.07
Pm (0.5000, 0.5000, 0.5000)  4 Pt 3.07, 4 P 3.07
P (0.2500, 0.2500, 0.2500)  4 Ca 3.07, 4 Pm 3.07
Pt (0.7500, 0.7500, 0.7500)  4 Ca 3.07, 4 Pm 3.07

crystal system	cubic
DFT formation energy	-1004	meV per atom

[2]
A geometry-optimized TaBe2Zn structure, computed with PBE-GGA.

a = 4.5547 Å, b = 4.5547 Å, c = 2.5947 Å
α = 90.00°, β = 90.00°, γ = 105.24°
With the nearest neighbours (Å) after each atom.
Atoms (fractional coordinates):
Ta (0.0000, 0.0000, 0.0000)  2 Ta 2.59, 8 Be 2.62, 2 Zn 2.77
Be (0.0000, 0.5000, 0.5000)  4 Be 2.59-2.77, 4 Ta 2.62, 4 Zn 2.62
Be (0.5000, 0.0000, 0.5000)  4 Be 2.59-2.77, 4 Ta 2.62, 4 Zn 2.62
Zn (0.5000, 0.5000, 0.0000)  2 Zn 2.59, 8 Be 2.62, 2 Ta 2.77

crystal system	orthorhombic
DFT formation energy	204	meV per atom

[3]
A geometry-optimized PrThNiRu structure, computed with PBE-GGA.

a = 4.0184 Å, b = 6.0691 Å, c = 6.0691 Å
α = 37.63°, β = 90.00°, γ = 90.00°
With the nearest neighbours (Å) after each atom.
Atoms (fractional coordinates):
Pr (0.0000, 0.0000, 0.0000)  4 Ni 2.90, 1 Ru 3.11
Th (0.5000, 0.2733, 0.2733)  4 Ru 2.85, 2 Ni 3.09
Ni (0.5000, 0.5651, 0.5651)  2 Ru 2.76, 4 Pr 2.90, 2 Th 3.09
Ru (0.0000, 0.7297, 0.7297)  2 Ni 2.76, 4 Th 2.85

excess energy over the best structure of this formula in the dataset	0.000	eV per atom
crystal system	orthorhombic
DFT formation energy	-394	meV per atom

[4]
A geometry-optimized Fe2CoAu structure, computed with PBE-GGA.

a = 3.7590 Å, b = 3.7590 Å, c = 3.7426 Å
α = 90.00°, β = 90.00°, γ = 90.00°
With the nearest neighbours (Å) after each atom.
Atoms (fractional coordinates):
Fe (0.0000, 0.5000, 0.0000)  4 Co 2.65, 4 Au 2.65, 4 Fe 2.66
Fe (0.5000, 0.0000, 0.0000)  4 Co 2.65, 4 Au 2.65, 4 Fe 2.66
Co (0.0000, 0.0000, 0.5000)  8 Fe 2.65, 4 Au 2.66
Au (0.5000, 0.5000, 0.5000)  8 Fe 2.65, 4 Co 2.66

excess energy over the best structure of this formula in the dataset	0.019	eV per atom
crystal system	tetragonal
DFT formation energy	105	meV per atom

[5]
A geometry-optimized Tl2H7N2 structure, computed with PBE-GGA.

a = 4.8969 Å, b = 4.8969 Å, c = 7.0620 Å
α = 95.19°, β = 95.19°, γ = 104.44°
With the nearest neighbours (Å) after each atom.
Atoms (fractional coordinates):
Tl (0.2005, 0.7995, 0.0000)  3 Tl 3.10, 6 H 3.19-3.38
Tl (0.7995, 0.2005, 0.0000)  3 Tl 3.10, 6 H 3.19-3.38
H (0.1620, 0.3735, 0.6239)  1 N 1.03
H (0.1848, 0.1848, 0.4155)  1 N 1.03
H (0.3735, 0.1620, 0.6239)  1 N 1.03
H (0.5000, 0.5000, 0.5000)  2 N 1.30
H (0.6265, 0.8380, 0.3761)  1 N 1.03
H (0.8152, 0.8152, 0.5845)  1 N 1.03
H (0.8380, 0.6265, 0.3761)  1 N 1.03
N (0.2963, 0.2963, 0.5418)  3 H 1.03
N (0.7037, 0.7037, 0.4582)  3 H 1.03

crystal system	monoclinic
calculated total energy	-4.21	eV per atom

[6]
A geometry-optimized ReAgIr2 structure, computed with PBE-GGA.

a = 4.8620 Å, b = 4.8620 Å, c = 4.8210 Å
α = 99.94°, β = 99.94°, γ = 33.02°
With the nearest neighbours (Å) after each atom.
Atoms (fractional coordinates):
Re (0.0000, 0.0000, 0.0000)  7 Ir 2.68-2.85, 2 Re 2.76, 3 Ag 2.81-2.94
Ag (0.7632, 0.7632, 0.2879)  7 Ir 2.70-2.82, 2 Ag 2.76, 3 Re 2.81-2.94
Ir (0.2581, 0.2581, 0.7955)  3 Re 2.68-2.76, 5 Ir 2.74-2.98, 4 Ag 2.74-2.82
Ir (0.5208, 0.5208, 0.5222)  3 Ag 2.70-2.82, 4 Re 2.72-2.85, 5 Ir 2.74-2.98

excess energy over the best structure of this formula in the dataset	0.266	eV per atom
crystal system	monoclinic
DFT formation energy	299	meV per atom